# PBE YPa2Sn, optimized geometry
# theoretical density = 10.35 g/cm³
# formation energy from the elements = 0.273 eV/atom
# E = -7.092 eV per atom
data_YPa2Sn
_symmetry_space_group_name_H-M 'F m -3 m'
_symmetry_Int_Tables_number 225
_symmetry_space_group_name_Hall '-F 4 2 3'
_cell_length_a 7.5462
_cell_length_b 7.5462
_cell_length_c 7.5462
_cell_angle_alpha 90.00
_cell_angle_beta 90.00
_cell_angle_gamma 90.00
loop_
_atom_site_label
_atom_site_fract_x
_atom_site_fract_y
_atom_site_fract_z
_atom_site_occupancy
Y1 0.0000 0.0000 0.0000 1
Pa1 0.2500 0.2500 0.2500 1
Sn1 0.0000 0.0000 0.5000 1